CoSeBr2: PBEsol geometry, meta-GGA SCAN.

DOS(E_F) (states/eV per cell): 1.647
Crystal system: monoclinic
Total DFT energy (no corrections) (eV/atom): -19.17

Unit cell a=6.5836 b=6.5836 c=5.4042 alpha=109.94 beta=109.94 gamma=29.17
Fractional coordinates of all 4 atoms:
Co1 0.0000 0.0000 0.0000
Se1 0.6170 0.6170 0.9613
Br1 0.3578 0.3578 0.8514
Br2 0.5693 0.5693 0.4492


SbPS2I: PBEsol geometry, meta-GGA SCAN.

DOS(E_F) (states/eV per cell): 3.167
Crystal system: tetragonal
Total DFT energy (no corrections) (eV/atom): -19.59

Unit cell a=4.9086 b=4.9086 c=5.2024 alpha=90.00 beta=90.00 gamma=90.00
Fractional coordinates of all 5 atoms:
Sb1 0.0000 0.0000 0.0000
P1 0.5000 0.5000 0.0000
S1 0.0000 0.5000 0.5000
S2 0.5000 0.0000 0.5000
I1 0.5000 0.5000 0.5000